First-principles (GGA-PBE) data for crystalline CoTcSeBr2 at its relaxed geometry, as listed in the Alexandria database.

Output
Size of the total moment in μB per atom: 1.021
Relative energy among the computed polymorphs in kJ/mol of formula units: 0
Uncorrected formation energy in eV/atom: 0.757

Cell: 4.8144 4.8144 4.8413 Å, 90.00 90.00 90.00°
With the nearest neighbours (Å) after each atom.
Element x y z (fractional)
Co  0.0000  0.0000  0.0000  4 Br 2.41, 2 Se 2.42
Tc  0.5000  0.5000  0.5000  4 Se 3.40, 8 Br 3.41
Se  0.0000  0.0000  0.5000  2 Co 2.42
Br  0.0000  0.5000  0.0000  2 Co 2.41
Br  0.5000  0.0000  0.0000  2 Co 2.41